Computed, not measured: crystalline SrPmGe2 at its relaxed geometry at the PBE level of DFT.

The structure belongs to space group P4/mmm (No. 123); the cell edges are 3.974, 3.974 and 6.860 Å and the angles 90.00°, 90.00° and 90.00°. The asymmetric unit holds Sr at (0.000, 0.000, 0.000), Pm at (0.000, 0.000, 0.500) and Ge at (0.500, 0.500, 0.306).

The volume is 108.34 Å³ per cell. The value obtained for the total magnetization is 0.00 μB per cell. Its calculated total energy is -18.0 eV/cell. The value obtained for the formation energy is -55.2 kJ/mol of atoms.